Density functional theory data (GGA-PBE) for a relaxed structure of NdDy2Cu4Sn2Ge2.

The density is 8.4 g/cm3. The value obtained for the energy relative to the lowest polymorph listed for this composition is 73 meV/atom.

It has space group Immm (No. 71), with a = 4.3121 Å, b = 7.0519 Å, c = 14.4211 Å, α = 90.00°, β = 90.00° and γ = 90.00°. The distinct sites, in fractional coordinates, are Nd at (0.0000, 0.0000, 0.0000), Dy at (0.0000, 0.5000, 0.1363), Cu at (0.0000, 0.3136, 0.3244), Sn at (0.0000, 0.1969, 0.5000) and Ge at (0.0000, 0.0000, 0.2184).

Density functional theory data (GGA-PBE) for a relaxed structure of DyCuGe2Pd.

The density is 8.9 g/cm3. The calculation puts the total energy at -5.20 eV/atom.

It has space group I-4m2 (No. 119), with a = 4.1466 Å, b = 4.1466 Å, c = 10.3612 Å, α = 90.00°, β = 90.00° and γ = 90.00°. The distinct sites, in fractional coordinates, are Dy at (0.0000, 0.0000, 0.0000), Cu at (0.0000, 0.5000, 0.7500), Ge at (0.0000, 0.0000, 0.3821) and Pd at (0.0000, 0.5000, 0.2500).

Density functional theory data (GGA-PBE) for a relaxed structure of DyCuGeSe2S.

The density is 6.3 g/cm3. The calculation puts the total energy at -4.85 eV/atom.

It has space group Cmcm (No. 63), with a = 3.8812 Å, b = 12.9995 Å, c = 10.1777 Å, α = 90.00°, β = 90.00° and γ = 90.00°. The distinct sites, in fractional coordinates, are Dy at (0.0000, 0.0000, 0.0000), Cu at (0.0000, 0.4776, 0.2500), Ge at (0.0000, 0.2402, 0.7500), Se at (0.0000, 0.3490, 0.0726) and S at (0.0000, 0.0822, 0.2500).